Si2AgOs | Alexandria via LeMat-Bulk | PBE | relaxed; formation energy from raw total energies = 0.13 eV per atom; relative energy among the computed polymorphs = 0.095 eV/atom; raw total energy = -6.105 eV per atom; calculated volume = 14.7 Å³ per atom; magnetic moment = 0.0 μB/f.u.
1.0
3.077 0.000 0.000
0.000 3.682 0.000
0.000 0.000 5.180
Ag Os Si
1 1 2
Direct
0.000 0.000 0.463
0.500 0.500 0.806
0.500 0.500 0.269
0.000 0.000 0.963

---

Pr3Ho4Tm2 | Alexandria via LeMat-Bulk | PBE | relaxed; relative energy among the computed polymorphs = 0.000 eV/atom; E_form = 0.088 eV/atom; raw total energy = -4.533 eV per atom; calculated volume = 32.9 Å³ per atom; magnetic moment = 0.0 μB/f.u.
1.0
5.594 0.000 0.000
-2.797 7.991 -3.230
0.000 -0.147 6.679
Pr Ho Tm
3 4 2
Direct
0.860 0.720 0.422
0.140 0.280 0.578
0.000 0.000 0.000
0.780 0.559 0.858
0.572 0.145 0.759
0.428 0.855 0.241
0.220 0.441 0.142
0.638 0.276 0.303
0.362 0.724 0.697

---

Ga2TeC | Alexandria via LeMat-Bulk | PBE | relaxed; formation energy from raw total energies = 1.37 eV per atom; relative energy among the computed polymorphs = 1.232 eV/atom; raw total energy = -3.238 eV per atom; calculated volume = 18.6 Å³ per atom; magnetic moment = 0.0 μB/f.u.
1.0
0.000 3.337 3.337
3.337 0.000 3.337
3.337 3.337 0.000
C Te Ga
1 1 2
Direct
0.000 0.000 0.000
0.500 0.500 0.500
0.750 0.750 0.750
0.250 0.250 0.250

---

Pu12Si3C5 | Alexandria via LeMat-Bulk | PBE | relaxed; formation energy from raw total energies = 0.07 eV per atom; raw total energy = -11.651 eV per atom; calculated volume = 22.1 Å³ per atom; magnetic moment = 63.8 μB/f.u.
1.0
-7.013 11.172 -0.417
-5.947 -9.204 -7.354
0.836 -4.205 12.481
Pu Si C
48 12 20
Direct
0.088 0.911 0.117
0.089 0.912 0.383
0.206 0.678 0.089
0.822 0.912 0.028
0.972 0.383 0.294
0.678 0.206 0.589
0.589 0.706 0.678
0.028 0.617 0.706
0.706 0.117 0.028
0.117 0.411 0.088
0.972 0.588 0.178
0.588 0.972 0.678
0.912 0.089 0.883
0.794 0.472 0.383
0.383 0.972 0.794
0.883 0.589 0.912
0.911 0.088 0.617
0.322 0.528 0.412
0.589 0.883 0.412
0.383 0.412 0.089
0.411 0.294 0.322
0.206 0.528 0.617
0.294 0.411 0.822
0.911 0.822 0.794
0.294 0.883 0.972
0.472 0.794 0.883
0.617 0.588 0.911
0.883 0.294 0.472
0.411 0.117 0.588
0.588 0.617 0.411
0.678 0.472 0.588
0.822 0.911 0.294
0.706 0.589 0.178
0.472 0.678 0.088
0.088 0.178 0.472
0.028 0.412 0.822
0.117 0.706 0.528
0.528 0.322 0.912
0.794 0.322 0.911
0.412 0.028 0.322
0.912 0.822 0.528
0.528 0.206 0.117
0.617 0.028 0.206
0.412 0.383 0.589
0.178 0.089 0.706
0.089 0.178 0.206
0.322 0.794 0.411
0.178 0.088 0.972
0.125 0.250 0.875
0.375 0.625 0.250
0.250 0.125 0.375
0.250 0.625 0.875
0.875 0.125 0.250
0.875 0.750 0.125
0.750 0.375 0.125
0.625 0.375 0.750
0.375 0.750 0.625
0.625 0.250 0.375
0.125 0.875 0.750
0.750 0.875 0.625
0.125 0.750 0.375
0.750 0.625 0.375
0.000 0.500 0.000
0.000 0.000 0.000
0.500 0.000 0.000
0.875 0.250 0.625
0.250 0.875 0.125
0.625 0.875 0.250
0.125 0.375 0.250
0.375 0.250 0.125
0.250 0.375 0.625
0.500 0.500 0.000
0.000 0.500 0.500
0.500 0.500 0.500
0.875 0.625 0.750
0.000 0.000 0.500
0.625 0.750 0.875
0.375 0.125 0.750
0.500 0.000 0.500
0.750 0.125 0.875

---

CeYThMg | Alexandria via LeMat-Bulk | PBE | relaxed; E_form = 0.176 eV/atom; raw total energy = -5.177 eV per atom; calculated volume = 29.7 Å³ per atom; magnetic moment = 0.9 μB/f.u.
1.0
5.519 0.000 0.000
2.759 4.779 0.000
2.759 1.593 4.506
Th Y Ce Mg
1 1 1 1
Direct
0.500 0.500 0.500
0.750 0.750 0.750
0.250 0.250 0.250
0.000 0.000 0.000

---

Tb2CePu | Alexandria via LeMat-Bulk | PBE | relaxed; relative energy among the computed polymorphs = 0.004 eV/atom; E_form = 0.143 eV/atom; raw total energy = -7.238 eV per atom; calculated volume = 30.4 Å³ per atom; magnetic moment = 5.2 μB/f.u.
1.0
3.465 0.000 0.000
0.000 3.465 0.000
0.000 0.000 10.141
Tb Pu Ce
2 1 1
Direct
0.000 0.000 0.754
0.000 0.000 0.246
0.500 0.500 0.000
0.500 0.500 0.500

---

ZnNi3C | Alexandria via LeMat-Bulk | PBE | relaxed; relative energy among the computed polymorphs = 0.000 eV/atom; E_form = -0.056 eV/atom; raw total energy = -5.624 eV per atom; calculated volume = 10.7 Å³ per atom; magnetic moment = 0.0 μB/f.u.
1.0
3.767 0.000 0.000
0.000 3.767 0.000
0.000 0.000 3.767
Ni C Zn
3 1 1
Direct
0.000 0.500 0.000
0.500 0.000 0.000
0.000 0.000 0.500
0.000 0.000 0.000
0.500 0.500 0.500

---

MgPAu2 | Alexandria via LeMat-Bulk | PBE | relaxed; relative energy among the computed polymorphs = 0.015 eV/atom; E_form = -0.145 eV/atom; raw total energy = -3.535 eV per atom; calculated volume = 17.4 Å³ per atom; magnetic moment = 0.0 μB/f.u.
1.0
4.050 0.000 0.000
0.000 4.050 0.000
0.000 0.000 4.243
Au Mg P
2 1 1
Direct
0.500 0.500 0.000
0.000 0.000 0.000
0.500 0.000 0.500
0.000 0.500 0.500

---

Sm2AlGa | Alexandria via LeMat-Bulk | PBE | relaxed; E_form = -0.486 eV/atom; raw total energy = -4.538 eV per atom; calculated volume = 26.3 Å³ per atom; magnetic moment = 0.0 μB/f.u.
1.0
-3.668 1.217 1.524
-2.481 -5.252 -1.776
3.281 -0.537 8.326
Ga Sm Al
2 4 2
Direct
0.250 0.356 0.213
0.750 0.644 0.787
0.250 0.783 0.067
0.750 0.219 0.426
0.750 0.217 0.933
0.250 0.781 0.574
0.250 0.358 0.715
0.750 0.642 0.285

---

ReSbW | Alexandria via LeMat-Bulk | PBE | relaxed; formation energy from raw total energies = 0.51 eV per atom; relative energy among the computed polymorphs = 0.165 eV/atom; raw total energy = -9.332 eV per atom; calculated volume = 17.8 Å³ per atom; magnetic moment = 0.0 μB/f.u.
1.0
3.022 0.000 0.000
-1.511 2.617 0.000
0.000 0.000 6.749
Sb W Re
1 1 1
Direct
0.667 0.333 0.331
0.333 0.667 0.688
0.000 0.000 0.981

---

CrSiMo2 | Alexandria via LeMat-Bulk | PBE | relaxed; formation energy from raw total energies = -0.14 eV per atom; raw total energy = -9.320 eV per atom; calculated volume = 13.9 Å³ per atom; magnetic moment = 0.0 μB/f.u.
1.0
4.992 -0.017 0.029
4.027 2.950 0.029
1.726 0.561 3.761
Mo Cr Si
2 1 1
Direct
0.747 0.747 0.753
0.993 0.993 0.007
0.251 0.251 0.249
0.509 0.509 0.491

---

BaH2O | Alexandria via LeMat-Bulk | PBE | relaxed; relative energy among the computed polymorphs = 0.048 eV/atom; raw total energy = -4.670 eV per atom; calculated volume = 14.5 Å³ per atom; magnetic moment = 0.0 μB/f.u.
1.0
7.087 0.000 0.000
0.000 5.709 0.000
-0.816 0.000 5.742
H O Ba
8 4 4
Direct
0.177 0.500 0.780
0.644 0.254 0.701
0.644 0.246 0.201
0.849 0.500 0.487
0.644 0.746 0.701
0.177 0.000 0.280
0.644 0.754 0.201
0.849 0.000 0.987
0.989 0.000 0.997
0.989 0.500 0.497
0.273 0.000 0.420
0.273 0.500 0.920
0.877 0.500 0.993
0.877 0.000 0.493
0.391 0.500 0.408
0.391 0.000 0.908

---

ScReAg | Alexandria via LeMat-Bulk | PBE | relaxed; relative energy among the computed polymorphs = 0.000 eV/atom; E_form = 0.236 eV/atom; raw total energy = -6.974 eV per atom; calculated volume = 17.5 Å³ per atom; magnetic moment = 0.0 μB/f.u.
1.0
7.328 -0.006 0.005
6.629 2.714 -0.007
0.699 -0.689 2.631
Ag Re Sc
1 1 1
Direct
0.002 0.002 0.998
0.672 0.672 0.328
0.326 0.326 0.674

---

TiTlSe2N | Alexandria via LeMat-Bulk | PBE | relaxed; formation energy from raw total energies = -0.24 eV per atom; relative energy among the computed polymorphs = 0.000 eV/atom; raw total energy = -5.346 eV per atom; calculated volume = 21.1 Å³ per atom; magnetic moment = 0.8 μB/f.u.
1.0
5.238 0.000 0.000
0.000 5.238 0.000
0.000 0.000 3.843
Tl Ti N Se
1 1 1 2
Direct
0.500 0.500 0.500
0.000 0.000 0.000
0.000 0.000 0.500
0.500 0.000 0.000
0.000 0.500 0.000

---

AcNdPaO6 | Alexandria via LeMat-Bulk | PBE | relaxed; formation energy from raw total energies = -3.20 eV per atom; raw total energy = -8.547 eV per atom; calculated volume = 17.8 Å³ per atom; magnetic moment = 0.8 μB/f.u.
1.0
-3.291 4.029 1.237
-2.240 -3.001 3.817
7.481 3.837 7.408
Nd Ac O Pa
2 2 12 2
Direct
0.500 0.500 0.832
0.000 0.000 0.332
0.500 0.500 0.502
0.000 0.000 0.002
0.313 0.313 0.314
0.790 0.210 0.173
0.824 0.176 0.512
0.687 0.687 0.314
0.210 0.790 0.173
0.187 0.813 0.814
0.290 0.290 0.673
0.176 0.824 0.512
0.813 0.187 0.814
0.676 0.676 0.012
0.710 0.710 0.673
0.324 0.324 0.012
0.000 0.000 0.667
0.500 0.500 0.167

---

Ca2BeZn | Alexandria via LeMat-Bulk | PBE | relaxed; relative energy among the computed polymorphs = 0.419 eV/atom; E_form = 0.437 eV/atom; raw total energy = -1.814 eV per atom; calculated volume = 27.1 Å³ per atom; magnetic moment = 0.0 μB/f.u.
1.0
7.961 0.000 0.000
0.000 7.961 0.000
3.980 3.980 3.422
Ca Be Zn
4 2 2
Direct
0.609 0.125 0.250
0.375 0.391 0.750
0.141 0.625 0.250
0.875 0.859 0.750
0.250 0.750 0.500
0.500 0.500 0.000
0.000 0.000 0.000
0.750 0.250 0.500

---

SmY2Sb | Alexandria via LeMat-Bulk | PBE | relaxed; formation energy from raw total energies = -0.37 eV per atom; relative energy among the computed polymorphs = 0.221 eV/atom; raw total energy = -5.810 eV per atom; calculated volume = 33.5 Å³ per atom; magnetic moment = 0.8 μB/f.u.
1.0
4.026 0.000 0.000
2.013 3.487 0.000
2.013 1.162 9.552
Y Sm Sb
2 1 1
Direct
0.067 0.067 0.799
0.266 0.266 0.201
0.501 0.501 0.498
0.666 0.666 0.001

---

PmAl4Zn | Alexandria via LeMat-Bulk | PBE | relaxed; E_form = -0.129 eV/atom; raw total energy = -3.628 eV per atom; calculated volume = 20.0 Å³ per atom; magnetic moment = 0.0 μB/f.u.
1.0
-2.514 -2.587 -4.196
-4.518 -3.054 0.941
-4.942 1.753 -1.768
Al Zn Pm
4 1 1
Direct
0.625 0.625 0.625
0.126 0.625 0.625
0.625 0.625 0.126
0.625 0.126 0.625
0.000 0.000 0.000
0.250 0.250 0.250

---

CeHo2Ru | Alexandria via LeMat-Bulk | PBE | relaxed; relative energy among the computed polymorphs = 0.000 eV/atom; E_form = -0.329 eV/atom; raw total energy = -6.420 eV per atom; calculated volume = 26.7 Å³ per atom; magnetic moment = 0.4 μB/f.u.
1.0
-4.878 1.360 3.782
-4.265 -3.909 -4.094
1.958 -7.672 5.285
Ho Ce Ru
8 4 4
Direct
0.830 0.327 0.935
0.170 0.673 0.435
0.670 0.827 0.565
0.670 0.827 0.935
0.830 0.327 0.565
0.330 0.173 0.435
0.330 0.173 0.065
0.170 0.673 0.065
0.146 0.949 0.750
0.354 0.449 0.750
0.854 0.051 0.250
0.646 0.551 0.250
0.017 0.364 0.250
0.983 0.636 0.750
0.517 0.136 0.750
0.483 0.864 0.250

---

ThCd3Au2 | Alexandria via LeMat-Bulk | PBE | relaxed; E_form = -0.340 eV/atom; raw total energy = -3.127 eV per atom; calculated volume = 22.8 Å³ per atom; magnetic moment = 0.0 μB/f.u.
1.0
4.594 0.000 0.000
-2.297 7.529 -0.361
0.000 -3.735 8.103
Th Cd Au
2 6 4
Direct
0.138 0.276 0.023
0.862 0.724 0.977
0.405 0.810 0.288
0.296 0.591 0.476
0.056 0.112 0.387
0.944 0.888 0.613
0.704 0.409 0.524
0.595 0.190 0.712
0.553 0.106 0.175
0.771 0.542 0.232
0.229 0.458 0.768
0.447 0.894 0.825